{"formula": "CaPmV2O8", "functional": "PBE with a Hubbard U", "state": "optimized geometry", "crystal_system": "tetragonal", "final_energy_ev_per_fu": -90.00, "n_ef_per_ev_cell": 7.91, "m_tot_mub_per_fu": 1.1, "space_group": "I-4m2", "density_g_cm3": 3.9, "cell": [[6.1475, 0.0045, 0.0000], [-2.7225, 5.5118, 0.0000], [-1.7125, -2.7582, 5.2203]], "species": ["Ca", "Pm", "V", "V", "O", "O", "O", "O", "O", "O", "O", "O"], "fractional_positions": [[0.0000, 0.0000, 0.0000], [0.2500, 0.7500, 0.5000], [0.7500, 0.2500, 0.5000], [0.5000, 0.5000, 0.0000], [0.3974, 0.0792, 0.3182], [0.3345, 0.5196, 0.1850], [0.3345, 0.1495, 0.8150], [0.7610, 0.0792, 0.6818], [0.8505, 0.6655, 0.1850], [0.9208, 0.2390, 0.3182], [0.9208, 0.6026, 0.6818], [0.4804, 0.6655, 0.8150]]}